# 1
The following is a PBE calculation of crystalline CrRh2Au at its relaxed geometry, from Alexandria via LeMat-Bulk.

a = 4.657 Å, b = 4.657 Å, c = 2.889 Å
α = 90.00°, β = 90.00°, γ = 106.45°
Fractional positions:
1 Cr 0.000 0.000 0.000
2 Rh 0.000 0.500 0.500
3 Rh 0.500 0.000 0.500
4 Au 0.500 0.500 0.000

VASP energy (eV per atom): -6.775
DOS at the Fermi energy (states/eV/cell): 5.18
SG: Cmmm
DFT formation energy (eV/atom): 0.126

---

# 2
The following is a PBE calculation of crystalline Cs2Rb6CdO at its relaxed geometry, from Alexandria via LeMat-Bulk.

a = 8.428 Å, b = 8.428 Å, c = 11.821 Å
α = 110.92°, β = 110.92°, γ = 89.90°
Fractional positions:
1 Cs 0.250 0.750 0.000
2 Cs 0.750 0.250 0.000
3 Rb 0.270 0.270 0.596
4 Rb 0.271 0.829 0.599
5 Rb 0.377 0.377 0.252
6 Rb 0.828 0.828 0.598
7 Rb 0.829 0.271 0.599
8 Rb 0.889 0.889 0.280
9 Cd 0.678 0.678 0.857
10 O 0.020 0.020 0.539

VASP energy (eV per atom): -1.601
DOS at the Fermi energy (states/eV/cell): 5.79
SG: Cm

---

# 3
The following is a PBE calculation of crystalline Ac4TcAu at its relaxed geometry, from Alexandria via LeMat-Bulk.

a = 8.681 Å, b = 8.681 Å, c = 6.841 Å
α = 107.15°, β = 107.15°, γ = 110.95°
Fractional positions:
1 Ac 0.054 0.710 0.914
2 Ac 0.222 0.358 0.707
3 Ac 0.290 0.946 0.586
4 Ac 0.358 0.222 0.207
5 Ac 0.642 0.778 0.793
6 Ac 0.710 0.054 0.414
7 Ac 0.778 0.642 0.293
8 Ac 0.946 0.290 0.086
9 Tc 0.002 0.998 0.250
10 Tc 0.998 0.002 0.750
11 Au 0.371 0.629 0.250
12 Au 0.629 0.371 0.750

VASP energy (eV per atom): -5.235
DOS at the Fermi energy (states/eV/cell): 11.39
SG: C2/c
DFT formation energy (eV/atom): -0.222

---

# 4
The following is a PBE calculation of crystalline Be2TlGeI at its relaxed geometry, from Alexandria via LeMat-Bulk.

a = 4.845 Å, b = 4.845 Å, c = 5.676 Å
α = 90.00°, β = 90.00°, γ = 90.00°
Fractional positions:
1 Be 0.000 0.500 0.000
2 Be 0.500 0.000 0.000
3 Tl 0.000 0.000 0.500
4 Ge 0.500 0.500 0.500
5 I 0.500 0.500 0.000

VASP energy (eV per atom): -1.866
DOS at the Fermi energy (states/eV/cell): 3.05
SG: P4/mmm

---

# 5
The following is a PBE calculation of crystalline MnGa2Ag at its relaxed geometry, from Alexandria via LeMat-Bulk.

a = 9.525 Å, b = 9.525 Å, c = 9.525 Å
α = 155.75°, β = 155.75°, γ = 34.55°
Fractional positions:
1 Mn 0.000 0.000 0.000
2 Mn 0.750 0.250 0.500
3 Ga 0.109 0.625 0.984
4 Ga 0.375 0.359 0.484
5 Ga 0.641 0.125 0.016
6 Ga 0.875 0.891 0.516
7 Ag 0.250 0.750 0.500
8 Ag 0.500 0.500 0.000

VASP energy (eV per atom): -4.302
DOS at the Fermi energy (states/eV/cell): 4.30
Polymorph energy (0 for the lowest one) (meV per atom): 242
SG: I-42d
DFT formation energy (eV/atom): 0.216

---

# 6
The following is a PBE calculation of crystalline YMoP2 at its relaxed geometry, from Alexandria via LeMat-Bulk.

a = 6.308 Å, b = 6.308 Å, c = 6.308 Å
α = 34.97°, β = 34.97°, γ = 34.97°
Fractional positions:
1 Y 0.000 0.000 0.000
2 Mo 0.500 0.500 0.500
3 P 0.237 0.237 0.237
4 P 0.763 0.763 0.763

VASP energy (eV per atom): -7.832
DOS at the Fermi energy (states/eV/cell): 2.53
Polymorph energy (0 for the lowest one) (meV per atom): 0
SG: R-3m
DFT formation energy (eV/atom): -0.803

---

# 7
The following is a PBE calculation of crystalline Sm3Zr at its relaxed geometry, from Alexandria via LeMat-Bulk.

a = 5.563 Å, b = 5.563 Å, c = 5.563 Å
α = 60.00°, β = 60.00°, γ = 60.00°
Fractional positions:
1 Sm 0.000 0.000 0.000
2 Sm 0.250 0.250 0.250
3 Sm 0.750 0.750 0.750
4 Zr 0.500 0.500 0.500

VASP energy (eV per atom): -5.435
DOS at the Fermi energy (states/eV/cell): 8.11
Polymorph energy (0 for the lowest one) (meV per atom): 117
SG: Fm-3m
DFT formation energy (eV/atom): 0.241

---

# 8
The following is a PBE calculation of crystalline SrNi2Sb at its relaxed geometry, from Alexandria via LeMat-Bulk.

a = 4.598 Å, b = 4.598 Å, c = 3.650 Å
α = 90.00°, β = 90.00°, γ = 90.00°
Fractional positions:
1 Sr 0.000 0.000 0.000
2 Ni 0.000 0.500 0.500
3 Ni 0.500 0.000 0.500
4 Sb 0.500 0.500 0.000

VASP energy (eV per atom): -4.289
DOS at the Fermi energy (states/eV/cell): 2.47
SG: P4/mmm

---

# 9
The following is a PBE calculation of crystalline V2CoPt7 at its relaxed geometry, from Alexandria via LeMat-Bulk.

a = 7.590 Å, b = 7.590 Å, c = 3.762 Å
α = 90.00°, β = 90.00°, γ = 122.85°
Fractional positions:
1 V 0.188 0.812 0.000
2 V 0.812 0.188 0.000
3 Co 0.500 0.500 0.500
4 Pt 0.000 0.000 0.000
5 Pt 0.206 0.411 0.000
6 Pt 0.298 0.702 0.500
7 Pt 0.411 0.206 0.000
8 Pt 0.589 0.794 0.000
9 Pt 0.702 0.298 0.500
10 Pt 0.794 0.589 0.000

VASP energy (eV per atom): -6.559
DOS at the Fermi energy (states/eV/cell): 12.11
SG: Cmmm
DFT formation energy (eV/atom): 0.204

---

# 10
The following is a PBE calculation of crystalline BaTe6Pb5 at its relaxed geometry, from Alexandria via LeMat-Bulk.

a = 8.146 Å, b = 8.146 Å, c = 8.133 Å
α = 99.62°, β = 99.62°, γ = 119.85°
Fractional positions:
1 Ba 0.000 0.000 0.000
2 Te 0.086 0.432 0.258
3 Te 0.262 0.262 0.746
4 Te 0.432 0.086 0.258
5 Te 0.568 0.914 0.742
6 Te 0.738 0.738 0.254
7 Te 0.914 0.568 0.742
8 Pb 0.165 0.835 0.500
9 Pb 0.334 0.666 0.000
10 Pb 0.500 0.500 0.500
11 Pb 0.666 0.334 0.000
12 Pb 0.835 0.165 0.500

VASP energy (eV per atom): -3.900
SG: C2/m

---

# 11
The following is a PBE calculation of crystalline DyCd6Pb at its relaxed geometry, from Alexandria via LeMat-Bulk.

a = 4.886 Å, b = 6.492 Å, c = 6.492 Å
α = 71.94°, β = 90.00°, γ = 90.00°
Fractional positions:
1 Dy 0.000 0.000 0.000
2 Cd 0.000 0.451 0.451
3 Cd 0.000 0.517 0.923
4 Cd 0.000 0.923 0.517
5 Cd 0.500 0.306 0.721
6 Cd 0.500 0.721 0.306
7 Cd 0.500 0.807 0.807
8 Pb 0.500 0.231 0.231

VASP energy (eV per atom): -1.839
DOS at the Fermi energy (states/eV/cell): 3.66
SG: Amm2
DFT formation energy (eV/atom): -0.114

---

# 12
The following is a PBE calculation of crystalline PuCu6Ge4 at its relaxed geometry, from Alexandria via LeMat-Bulk.

a = 6.293 Å, b = 6.293 Å, c = 6.293 Å
α = 118.51°, β = 118.51°, γ = 92.61°
Fractional positions:
1 Pu 0.000 0.000 0.000
2 Cu 0.000 0.500 0.500
3 Cu 0.252 0.252 0.699
4 Cu 0.447 0.748 0.000
5 Cu 0.500 0.000 0.500
6 Cu 0.553 0.553 0.301
7 Cu 0.748 0.447 0.000
8 Ge 0.108 0.540 0.000
9 Ge 0.460 0.460 0.568
10 Ge 0.540 0.108 0.000
11 Ge 0.892 0.892 0.432

VASP energy (eV per atom): -5.233
DOS at the Fermi energy (states/eV/cell): 11.24
SG: I-42m
DFT formation energy (eV/atom): -0.017